No. 1
Computed, not measured: a relaxed structure of Li2TlOs at the PBE level of DFT.

abc: 3.3214 3.3214 5.6443
angles: 90.00 90.00 90.00
With the nearest neighbours (Å) after each atom.
Sites, in units of the cell vectors:
Os  0.5000  0.5000  0.2500  8 Li 2.64, 2 Tl 2.82
Li  0.0000  0.0000  0.0379  1 Li 2.39, 4 Os 2.64
Li  0.0000  0.0000  0.4621  1 Li 2.39, 4 Os 2.64
Tl  0.5000  0.5000  0.7500  2 Os 2.82, 8 Li 2.86

Calculated values
Space-group type: P4/mmm, No. 123
Fermi-level density of states in states/eV/cell: 3.62
E_form in kJ per mole of atoms: 41
E_tot in eV per atom: -3.931

---

No. 2
Computed, not measured: a relaxed structure of LiTl4Os at the PBE level of DFT.

abc: 6.0378 6.0378 6.0378
angles: 60.00 60.00 60.00
With the nearest neighbours (Å) after each atom.
Sites, in units of the cell vectors:
Os  0.0000  0.0000  0.0000  12 Tl 3.54, 4 Li 3.70
Tl  0.3746  0.3746  0.3746  6 Tl 3.01-3.03
Tl  0.3746  0.8763  0.3746  6 Tl 3.01-3.03
Tl  0.3746  0.3746  0.8763  6 Tl 3.01-3.03
Tl  0.8763  0.3746  0.3746  6 Tl 3.01-3.03
Li  0.7500  0.7500  0.7500  12 Tl 3.54, 4 Os 3.70

Calculated values
Space-group type: F-43m, No. 216
Fermi-level density of states in states/eV/cell: 3.82
E_form in kJ per mole of atoms: 94
E_tot in eV per atom: -2.794

---

No. 3
Computed, not measured: a relaxed structure of LiTlOs2 at the PBE level of DFT.

abc: 4.4590 4.4590 4.4590
angles: 60.00 60.00 60.00
With the nearest neighbours (Å) after each atom.
Sites, in units of the cell vectors:
Li  0.0000  0.0000  0.0000  8 Os 2.73
Tl  0.5000  0.5000  0.5000  8 Os 2.73
Os  0.7500  0.7500  0.7500  4 Tl 2.73, 4 Li 2.73
Os  0.2500  0.2500  0.2500  4 Tl 2.73, 4 Li 2.73

Calculated values
Space-group type: Fm-3m, No. 225
Fermi-level density of states in states/eV/cell: 5.91
E_form in kJ per mole of atoms: 102
ΔE to the lowest computed polymorph in eV per atom: 0.686
E_tot in eV per atom: -5.623

---

> E_tot of number 3 (LiTlOs2)?

-5.623 eV per atom